# 1
A plane-wave DFT calculation with GGA-PBE was carried out for crystalline Li4Cd3Sn at its relaxed geometry.

The calculation puts the density of states at the Fermi level at 0.294 states/eV per atom. For the volume, the calculation gives 18.7 Å³/atom. The total magnetization comes out at 0.00 μB per cell. For the calculated total energy, the calculation gives -33.45 eV for the cell shown.

Geometry as CIF:
```
data_Li4Cd3Sn
_symmetry_space_group_name_H-M 'I 4/m m m'
_symmetry_Int_Tables_number 139
_symmetry_space_group_name_Hall '-I 4 2'
_cell_length_a 4.773
_cell_length_b 4.773
_cell_length_c 13.137
_cell_angle_alpha 90.00
_cell_angle_beta 90.00
_cell_angle_gamma 90.00
loop_
_atom_site_label
_atom_site_fract_x
_atom_site_fract_y
_atom_site_fract_z
Li1 0.000 0.500 0.125
Cd1 0.000 0.000 0.000
Cd2 0.000 0.000 0.251
Sn1 0.000 0.000 0.500
```

# 2
A plane-wave DFT calculation with GGA-PBE was carried out for crystalline Li5CdSn6 at its relaxed geometry.

The calculation puts the density of states at the Fermi level at 0.445 states/eV per atom. For the volume, the calculation gives 21.7 Å³/atom. The total magnetization comes out at 0.00 μB per cell. For the calculated total energy, the calculation gives -75.30 eV for the cell shown.

Geometry as CIF:
```
data_Li5CdSn6
_symmetry_space_group_name_H-M 'I m m m'
_symmetry_Int_Tables_number 71
_symmetry_space_group_name_Hall '-I 2 2'
_cell_length_a 4.496
_cell_length_b 8.635
_cell_length_c 13.426
_cell_angle_alpha 90.00
_cell_angle_beta 90.00
_cell_angle_gamma 90.00
loop_
_atom_site_label
_atom_site_fract_x
_atom_site_fract_y
_atom_site_fract_z
Li1 0.000 0.000 0.000
Li2 0.000 0.000 0.343
Li3 0.000 0.500 0.328
Cd1 0.000 0.500 0.000
Sn1 0.000 0.241 0.169
Sn2 0.000 0.265 0.500
```

# 3
A plane-wave DFT calculation with GGA-PBE was carried out for crystalline LiCd2Sn at its relaxed geometry.

The calculation puts the density of states at the Fermi level at 0.462 states/eV per atom. For the volume, the calculation gives 24.4 Å³/atom. The total magnetization comes out at 0.00 μB per cell. For the calculated total energy, the calculation gives -22.19 eV for the cell shown.

Geometry as CIF:
```
data_LiCd2Sn
_symmetry_space_group_name_H-M 'R -3 m'
_symmetry_Int_Tables_number 166
_symmetry_space_group_name_Hall '-R 3 2"'
_cell_length_a 3.1298
_cell_length_b 3.1298
_cell_length_c 34.5214
_cell_angle_alpha 90.00
_cell_angle_beta 90.00
_cell_angle_gamma 120.00
loop_
_atom_site_label
_atom_site_fract_x
_atom_site_fract_y
_atom_site_fract_z
Li1 0.0000 0.0000 0.0000
Cd1 0.0000 0.0000 0.0806
Sn1 0.0000 0.0000 0.5000
```

Please write out number 1 again, unchanged.
A plane-wave DFT calculation with GGA-PBE was carried out for crystalline Li4Cd3Sn at its relaxed geometry.

The calculation puts the density of states at the Fermi level at 0.294 states/eV per atom. For the volume, the calculation gives 18.7 Å³/atom. The total magnetization comes out at 0.00 μB per cell. For the calculated total energy, the calculation gives -33.45 eV for the cell shown.

Geometry as CIF:
```
data_Li4Cd3Sn
_symmetry_space_group_name_H-M 'I 4/m m m'
_symmetry_Int_Tables_number 139
_symmetry_space_group_name_Hall '-I 4 2'
_cell_length_a 4.773
_cell_length_b 4.773
_cell_length_c 13.137
_cell_angle_alpha 90.00
_cell_angle_beta 90.00
_cell_angle_gamma 90.00
loop_
_atom_site_label
_atom_site_fract_x
_atom_site_fract_y
_atom_site_fract_z
Li1 0.000 0.500 0.125
Cd1 0.000 0.000 0.000
Cd2 0.000 0.000 0.251
Sn1 0.000 0.000 0.500
```

Copy entry 2 word for word.
A plane-wave DFT calculation with GGA-PBE was carried out for crystalline Li5CdSn6 at its relaxed geometry.

The calculation puts the density of states at the Fermi level at 0.445 states/eV per atom. For the volume, the calculation gives 21.7 Å³/atom. The total magnetization comes out at 0.00 μB per cell. For the calculated total energy, the calculation gives -75.30 eV for the cell shown.

Geometry as CIF:
```
data_Li5CdSn6
_symmetry_space_group_name_H-M 'I m m m'
_symmetry_Int_Tables_number 71
_symmetry_space_group_name_Hall '-I 2 2'
_cell_length_a 4.496
_cell_length_b 8.635
_cell_length_c 13.426
_cell_angle_alpha 90.00
_cell_angle_beta 90.00
_cell_angle_gamma 90.00
loop_
_atom_site_label
_atom_site_fract_x
_atom_site_fract_y
_atom_site_fract_z
Li1 0.000 0.000 0.000
Li2 0.000 0.000 0.343
Li3 0.000 0.500 0.328
Cd1 0.000 0.500 0.000
Sn1 0.000 0.241 0.169
Sn2 0.000 0.265 0.500
```